Here is LaAs3Pt at its PBEsol-relaxed geometry from Alexandria. Energies are from meta-GGA SCAN.

Cell lengths 4.887, 4.887, 4.887 Å; angles 90.00, 90.00, 90.00 degrees
Fractional coordinates of all 5 atoms:
La (0.000, 0.000, 0.000)
As (0.000, 0.500, 0.500)
As (0.500, 0.000, 0.500)
As (0.500, 0.500, 0.000)
Pt (0.500, 0.500, 0.500)

Summary:
formation energy from the elements	-383	meV per atom
space-group type	Pm-3m, No. 221
calculated density	7947	kg/m³


Here is LaAsPt at its PBEsol-relaxed geometry from Alexandria. Energies are from meta-GGA SCAN.

Cell lengths 5.818, 5.804, 3.466 Å; angles 72.87, 72.43, 34.70 degrees
Fractional coordinates of all 3 atoms:
La (0.000, 0.000, 0.000)
As (0.711, 0.711, 0.289)
Pt (0.312, 0.312, 0.688)

Summary:
formation energy from the elements	-834	meV per atom
space-group type	Fmm2, No. 42
calculated density	10732	kg/m³


Here is LaAsPtSe2 at its PBEsol-relaxed geometry from Alexandria. Energies are from meta-GGA SCAN.

Cell lengths 5.038, 5.038, 4.690 Å; angles 90.00, 90.00, 90.00 degrees
Fractional coordinates of all 5 atoms:
La (0.000, 0.000, 0.000)
As (0.500, 0.500, 0.000)
Pt (0.500, 0.500, 0.500)
Se (0.000, 0.500, 0.500)
Se (0.500, 0.000, 0.500)

Summary:
energy relative to the elements, uncorrected	-0.767	eV/atom
space-group type	P4/mmm, No. 123
calculated density	7906	kg/m³